Entry 1:
Entry from Alexandria: a geometry-optimized PuThPaSb structure (PBE).

```
PuThPaSb
1.0
5.325 0.000 0.000
2.662 4.611 0.000
2.662 1.537 4.347
Sb Pa Th Pu
1 1 1 1
direct
0.000 0.000 0.000
0.500 0.500 0.500
0.250 0.250 0.250
0.750 0.750 0.750
```

Computed properties:
Final energy: -35.6 eV per formula unit
V: 26.69 A^3/atom
Space group: F-43m (216)
Density: 12.9 g/cm³
Formation energy (no corrections): -50 meV per atom


Entry 2:
Entry from Alexandria: a geometry-optimized PuTh2PaSb4 structure (PBE).

```
PuTh2PaSb4
1.0
-3.620 1.869 -1.803
2.893 -1.215 -7.067
-4.201 -6.080 2.131
Pu Th Pa Sb
1 2 1 4
direct
0.000 0.000 0.000
0.500 0.000 0.500
0.000 0.500 0.500
0.500 0.500 0.000
0.500 0.249 0.242
0.500 0.751 0.758
0.000 0.255 0.759
0.000 0.745 0.241
```

Computed properties:
Final energy: -61.1 eV per formula unit
V: 31.22 A^3/atom
Space group: P2/m (10)
Density: 9.5 g/cm³
Formation energy (no corrections): -739 meV per atom


Entry 3:
Entry from Alexandria: a geometry-optimized TmPuPa2Sb4 structure (PBE).

```
TmPuPa2Sb4
1.0
-3.890 1.852 0.790
-3.389 -6.769 -0.815
1.941 0.993 7.231
Tm Pu Pa Sb
1 1 2 4
direct
0.500 0.500 0.000
0.000 0.000 0.000
0.500 0.000 0.500
0.000 0.500 0.500
0.500 0.253 0.250
0.500 0.747 0.750
0.000 0.254 0.752
0.000 0.746 0.248
```

Computed properties:
Final energy: -59.4 eV per formula unit
V: 29.68 A^3/atom
Space group: P2/m (10)
Density: 9.5 g/cm³
Formation energy (no corrections): -644 meV per atom


Entry 4:
Entry from Alexandria: a geometry-optimized Tm2PuPaSb4 structure (PBE).

```
Tm2PuPaSb4
1.0
4.371 0.000 0.000
0.000 7.564 0.133
0.000 -2.639 7.074
Tm Pu Pa Sb
2 1 1 4
direct
0.500 0.000 0.500
0.000 0.500 0.500
0.500 0.500 0.000
0.000 0.000 0.000
0.500 0.249 0.255
0.500 0.751 0.745
0.000 0.246 0.745
0.000 0.754 0.255
```

Computed properties:
Final energy: -55.7 eV per formula unit
V: 29.42 A^3/atom
Space group: P2/m (10)
Density: 9.2 g/cm³
Formation energy (no corrections): -807 meV per atom


Entry 5:
Entry from Alexandria: a geometry-optimized TmPu2PaSb4 structure (PBE).

```
TmPu2PaSb4
1.0
-1.730 -4.041 -0.275
1.572 -0.169 -7.425
5.906 -2.795 3.917
Tm Pu Pa Sb
1 2 1 4
direct
0.500 0.500 0.000
0.500 0.000 0.500
0.000 0.500 0.500
0.000 0.000 0.000
0.500 0.249 0.244
0.500 0.751 0.756
0.000 0.252 0.756
0.000 0.748 0.244
```

Computed properties:
Final energy: -64.8 eV per formula unit
V: 30.01 A^3/atom
Space group: P2/m (10)
Density: 9.5 g/cm³
Formation energy (no corrections): -706 meV per atom


Entry 6:
Entry from Alexandria: a geometry-optimized PuU2PaSb4 structure (PBE).

```
PuU2PaSb4
1.0
4.314 0.000 0.000
0.000 7.818 0.263
0.000 -2.611 6.985
Pu U Pa Sb
1 2 1 4
direct
0.000 0.000 0.000
0.500 0.000 0.500
0.000 0.500 0.500
0.500 0.500 0.000
0.500 0.251 0.251
0.500 0.749 0.749
0.000 0.251 0.750
0.000 0.749 0.250
```

Computed properties:
Final energy: -65.7 eV per formula unit
V: 29.82 A^3/atom
Space group: P2/m (10)
Density: 10.0 g/cm³
Formation energy (no corrections): -349 meV per atom


Entry 7:
Entry from Alexandria: a geometry-optimized Pu2UPaSb4 structure (PBE).

```
Pu2UPaSb4
1.0
4.376 0.000 0.000
0.000 7.584 0.119
0.000 -2.656 7.235
Pu U Pa Sb
2 1 1 4
direct
0.500 0.000 0.500
0.000 0.500 0.500
0.000 0.000 0.000
0.500 0.500 0.000
0.500 0.250 0.247
0.500 0.750 0.753
0.000 0.251 0.754
0.000 0.749 0.246
```

Computed properties:
Final energy: -69.7 eV per formula unit
V: 30.19 A^3/atom
Space group: P2/m (10)
Density: 9.9 g/cm³
Formation energy (no corrections): -465 meV per atom


Entry 8:
Entry from Alexandria: a geometry-optimized PuPaZnSb structure (PBE).

```
PuPaZnSb
1.0
-3.055 2.317 -3.490
-2.971 -2.856 -3.147
-5.147 -0.043 0.626
Sb Zn Pa Pu
1 1 1 1
direct
0.750 0.750 0.750
0.250 0.250 0.250
0.500 0.500 0.500
0.000 0.000 0.000
```

Computed properties:
Final energy: -29.8 eV per formula unit
V: 24.64 A^3/atom
Space group: F-43m (216)
Density: 11.2 g/cm³
Formation energy (no corrections): -137 meV per atom


Entry 9:
Entry from Alexandria: a geometry-optimized PuScPa2 structure (PBE).

```
PuScPa2
1.0
4.483 0.000 0.000
0.000 4.637 0.000
0.000 0.000 4.637
Sc Pa Pu
1 2 1
direct
0.500 0.000 0.000
0.000 0.000 0.500
0.000 0.500 0.000
0.500 0.500 0.500
```

Computed properties:
Final energy: -39.1 eV per formula unit
V: 24.10 A^3/atom
Space group: P4/mmm (123)
Distance to the lowest polymorph of the same formula: 0.000 eV per atom
Density: 12.9 g/cm³


Entry 10:
Entry from Alexandria: a geometry-optimized PuScPa2 structure (PBE).

```
PuScPa2
1.0
3.571 0.000 0.000
1.786 3.093 0.000
1.786 1.031 8.781
Pu Sc Pa
1 1 2
direct
0.504 0.504 0.488
0.665 0.665 0.006
0.104 0.104 0.689
0.228 0.228 0.317
```

Computed properties:
Final energy: -38.2 eV per formula unit
V: 24.25 A^3/atom
Space group: R3m (160)
Distance to the lowest polymorph of the same formula: 0.236 eV per atom
Density: 12.9 g/cm³


Entry 11:
Entry from Alexandria: a geometry-optimized PuSc2Pa structure (PBE).

```
PuSc2Pa
1.0
-0.830 -1.712 -2.495
-1.933 -2.447 0.350
-9.907 5.467 -2.428
Sc Pa Pu
2 1 1
direct
0.089 0.089 0.734
0.911 0.911 0.266
0.000 0.000 0.000
0.500 0.500 0.500
```

Computed properties:
Final energy: -35.6 eV per formula unit
V: 24.36 A^3/atom
Space group: R-3m (166)
Distance to the lowest polymorph of the same formula: 0.167 eV per atom
Density: 9.6 g/cm³


Entry 12:
Entry from Alexandria: a geometry-optimized PuSc2Pa structure (PBE).

```
PuSc2Pa
1.0
3.162 0.000 0.000
0.000 3.162 0.000
0.000 0.000 9.901
Sc Pa Pu
2 1 1
direct
0.000 0.000 0.743
0.000 0.000 0.257
0.500 0.500 0.500
0.500 0.500 0.000
```

Computed properties:
Final energy: -35.9 eV per formula unit
V: 24.75 A^3/atom
Space group: P4/mmm (123)
Distance to the lowest polymorph of the same formula: 0.078 eV per atom
Density: 9.5 g/cm³


Entry 13:
Entry from Alexandria: a geometry-optimized PuScPa14 structure (PBE).

```
PuScPa14
1.0
-4.132 0.196 4.946
3.446 -4.513 3.054
5.262 6.810 4.126
Pu Sc Pa
1 1 14
direct
0.875 0.125 0.000
0.375 0.625 0.000
0.375 0.625 0.500
0.875 0.125 0.500
0.875 0.625 0.000
0.875 0.625 0.500
0.375 0.125 0.000
0.375 0.125 0.500
0.623 0.873 0.753
0.623 0.873 0.247
0.127 0.377 0.753
0.127 0.377 0.247
0.127 0.873 0.753
0.127 0.873 0.247
0.623 0.377 0.753
0.623 0.377 0.247
```

Computed properties:
Final energy: -153.2 eV per formula unit
V: 24.79 A^3/atom
Space group: P4/mmm (123)
Density: 14.7 g/cm³


Entry 14:
Entry from Alexandria: a geometry-optimized PuScPa2 structure (PBE).

```
PuScPa2
1.0
-0.402 -1.918 -2.416
-0.305 -2.399 1.956
-9.793 1.563 0.388
Sc Pa Pu
1 2 1
direct
0.500 0.500 0.000
0.000 0.000 0.743
0.000 0.000 0.257
0.500 0.500 0.500
```

Computed properties:
Final energy: -39.1 eV per formula unit
V: 24.01 A^3/atom
Space group: P4/mmm (123)
Distance to the lowest polymorph of the same formula: 0.012 eV per atom
Density: 13.0 g/cm³


Entry 15:
Entry from Alexandria: a geometry-optimized PuSc2Pa structure (PBE).

```
PuSc2Pa
1.0
3.227 0.000 0.000
1.613 2.795 0.000
1.613 0.932 10.875
Pu Sc Pa
1 2 1
direct
0.667 0.667 0.000
0.084 0.084 0.747
0.249 0.249 0.253
0.500 0.500 0.500
```

Computed properties:
Final energy: -36.1 eV per formula unit
V: 24.52 A^3/atom
Space group: R3m (160)
Distance to the lowest polymorph of the same formula: 0.026 eV per atom
Density: 9.6 g/cm³


Entry 16:
Entry from Alexandria: a geometry-optimized PuSc2Pa structure (PBE).

```
PuSc2Pa
1.0
4.618 -0.008 -0.007
-2.302 4.914 -1.442
0.010 -1.626 8.994
Pu Sc Pa
2 4 2
direct
0.133 0.265 0.178
0.867 0.735 0.822
0.119 0.237 0.690
0.881 0.763 0.310
0.628 0.255 0.434
0.372 0.745 0.566
0.623 0.246 0.939
0.377 0.754 0.061
```

Computed properties:
Final energy: -36.3 eV per formula unit
V: 24.13 A^3/atom
Space group: C2/m (12)
Distance to the lowest polymorph of the same formula: 0.000 eV per atom
Density: 9.7 g/cm³


Entry 17:
Entry from Alexandria: a geometry-optimized PuSc2Pa structure (PBE).

```
PuSc2Pa
1.0
-1.333 4.688 -0.070
-2.556 -0.779 -3.522
-3.399 -0.926 2.671
Sc Pa Pu
2 1 1
direct
0.000 0.000 0.500
0.000 0.500 0.000
0.500 0.000 0.000
0.500 0.500 0.500
```

Computed properties:
Final energy: -36.1 eV per formula unit
V: 23.82 A^3/atom
Space group: P4/mmm (123)
Distance to the lowest polymorph of the same formula: 0.047 eV per atom
Density: 9.8 g/cm³


Entry 18:
Entry from Alexandria: a geometry-optimized PuScPa2 structure (PBE).

```
PuScPa2
1.0
-4.852 -0.007 1.596
-1.059 -0.668 4.952
-1.780 3.897 2.779
Sc Pa Pu
1 2 1
direct
0.500 0.500 0.500
0.750 0.750 0.750
0.250 0.250 0.250
0.000 0.000 0.000
```

Computed properties:
Final energy: -38.9 eV per formula unit
V: 23.55 A^3/atom
Space group: Fm-3m (225)
Distance to the lowest polymorph of the same formula: 0.051 eV per atom
Density: 13.2 g/cm³


Entry 19:
Entry from Alexandria: a geometry-optimized PuScPa2Se4 structure (PBE).

```
PuScPa2Se4
1.0
3.920 0.000 0.000
0.000 7.332 -0.342
0.000 2.388 6.357
Pu Sc Pa Se
1 1 2 4
direct
0.000 0.500 0.500
0.500 0.500 0.000
0.000 0.000 0.000
0.500 0.000 0.500
0.000 0.735 0.764
0.000 0.265 0.236
0.500 0.740 0.244
0.500 0.260 0.756
```

Computed properties:
Final energy: -64.5 eV per formula unit
V: 23.24 A^3/atom
Space group: P2/m (10)
Density: 9.5 g/cm³
Formation energy (no corrections): -1364 meV per atom


Entry 20:
Entry from Alexandria: a geometry-optimized PuScPaTa structure (PBE).

```
PuScPaTa
1.0
-2.817 -2.347 -3.390
-1.101 -4.835 0.584
-4.660 -1.378 1.148
Sc Pa Ta Pu
1 1 1 1
direct
0.750 0.750 0.750
0.250 0.250 0.250
0.000 0.000 0.000
0.500 0.500 0.500
```

Computed properties:
Final energy: -41.2 eV per formula unit
V: 22.01 A^3/atom
Space group: F-43m (216)
Density: 13.2 g/cm³


Entry 21:
Entry from Alexandria: a geometry-optimized PuScPaTc structure (PBE).

```
PuScPaTc
1.0
-0.912 2.188 -4.265
-4.540 1.413 -1.096
-1.116 4.749 -0.116
Sc Pa Tc Pu
1 1 1 1
direct
0.750 0.750 0.750
0.250 0.250 0.250
0.500 0.500 0.500
0.000 0.000 0.000
```

Computed properties:
Final energy: -40.6 eV per formula unit
V: 20.54 A^3/atom
Space group: F-43m (216)
Density: 12.5 g/cm³


Entry 22:
Entry from Alexandria: a geometry-optimized PuScPaTi structure (PBE).

```
PuScPaTi
1.0
-3.802 -2.159 2.385
-0.219 -4.963 0.358
0.754 -2.215 4.397
Sc Pa Ti Pu
1 1 1 1
direct
0.750 0.750 0.750
0.250 0.250 0.250
0.000 0.000 0.000
0.500 0.500 0.500
```

Computed properties:
Final energy: -37.4 eV per formula unit
V: 21.84 A^3/atom
Space group: F-43m (216)
Density: 10.8 g/cm³


Entry 23:
Entry from Alexandria: a geometry-optimized PuScPaTl structure (PBE).

```
PuScPaTl
1.0
5.154 0.000 0.000
2.577 4.463 0.000
2.577 1.488 4.208
Sc Tl Pa Pu
1 1 1 1
direct
0.500 0.500 0.500
0.750 0.750 0.750
0.250 0.250 0.250
0.000 0.000 0.000
```

Computed properties:
Final energy: -31.9 eV per formula unit
V: 24.20 A^3/atom
Space group: F-43m (216)
Density: 12.4 g/cm³


Entry 24:
Entry from Alexandria: a geometry-optimized PuZrScPa structure (PBE).

```
PuZrScPa
1.0
5.120 0.000 0.000
2.560 4.434 0.000
2.560 1.478 4.180
Sc Pa Zr Pu
1 1 1 1
direct
0.000 0.000 0.000
0.500 0.500 0.500
0.750 0.750 0.750
0.250 0.250 0.250
```

Computed properties:
Final energy: -38.1 eV per formula unit
V: 23.72 A^3/atom
Space group: F-43m (216)
Density: 10.7 g/cm³


Entry 25:
Entry from Alexandria: a geometry-optimized Pu2PaSe5 structure (PBE).

```
Pu2PaSe5
1.0
-1.331 -3.627 -1.694
2.520 -3.931 6.436
-10.857 1.554 5.201
Pu Pa Se
4 2 10
direct
0.500 0.546 0.172
0.500 0.454 0.828
0.500 0.954 0.672
0.500 0.046 0.328
0.000 0.500 0.500
0.000 0.000 0.000
0.000 0.000 0.500
0.000 0.500 0.000
0.000 0.834 0.204
0.000 0.166 0.796
0.000 0.666 0.704
0.000 0.334 0.296
0.500 0.681 0.408
0.500 0.319 0.592
0.500 0.819 0.908
0.500 0.181 0.092
```

Computed properties:
Final energy: -66.9 eV per formula unit
V: 25.44 A^3/atom
Space group: Pbam (55)
Density: 9.1 g/cm³
Formation energy (no corrections): -1412 meV per atom


Entry 26:
Entry from Alexandria: a geometry-optimized Pu2Pa3Se8 structure (PBE).

```
Pu2Pa3Se8
1.0
6.991 0.000 0.189
0.000 8.294 0.000
-2.603 -4.147 6.847
Pu Pa Se
2 3 8
direct
0.337 0.256 0.513
0.663 0.744 0.487
0.500 0.000 0.000
0.000 0.257 0.000
0.000 0.743 0.000
0.920 0.616 0.233
0.080 0.384 0.767
0.918 0.118 0.236
0.082 0.882 0.764
0.585 0.640 0.759
0.585 0.118 0.759
0.415 0.882 0.241
0.415 0.360 0.241
```

Computed properties:
Final energy: -102.4 eV per formula unit
V: 30.85 A^3/atom
Space group: C2/m (12)
Distance to the lowest polymorph of the same formula: 0.025 eV per atom
Density: 7.5 g/cm³
Formation energy (no corrections): -1335 meV per atom


Entry 27:
Entry from Alexandria: a geometry-optimized PuPaSe structure (PBE).

```
PuPaSe
1.0
-2.233 -0.483 2.925
3.111 -2.001 -0.310
2.765 3.874 2.750
Pa Se Pu
1 1 1
direct
0.333 0.667 0.634
0.000 0.000 0.005
0.667 0.333 0.361
```

Computed properties:
Final energy: -29.4 eV per formula unit
V: 21.86 A^3/atom
Space group: P3m1 (156)
Distance to the lowest polymorph of the same formula: 0.000 eV per atom
Density: 14.0 g/cm³
Formation energy (no corrections): -695 meV per atom